No. 1
Dy2YTh: optimized geometry, GGA-PBE.

Calculated values
Density ... 8.4 g cm⁻³
Energy relative to the lowest polymorph listed for this composition ... 23 meV per atom
Energy relative to the elements ... 0.027 eV/atom

Unit cell a=3.5661 b=6.1883 c=12.7998 alpha=94.52 beta=73.83 gamma=73.21
Atoms (fractional coordinates):
Dy 0.6438 0.8560 0.2914
Dy 0.0158 0.3588 0.6681
Dy 0.8862 0.8579 0.5479
Dy 0.2582 0.3607 0.9245
Y 0.1366 0.8582 0.7974
Y 0.7655 0.3585 0.4186
Th 0.3853 0.8582 0.0487
Th 0.5166 0.3585 0.1673

No. 2
Na2PuHg9: optimized geometry, GGA-PBE.

Calculated values
Density ... 11.3 g cm⁻³
Energy relative to the elements ... -0.162 eV/atom

Unit cell a=4.6896 b=4.6896 c=14.0033 alpha=90.00 beta=90.00 gamma=90.00
Atoms (fractional coordinates):
Na 0.0000 0.0000 0.3351
Na 0.0000 0.0000 0.6649
Pu 0.0000 0.0000 0.0000
Hg 0.5000 0.5000 0.0000
Hg 0.5000 0.5000 0.3310
Hg 0.5000 0.5000 0.6690
Hg 0.5000 0.0000 0.1671
Hg 0.5000 0.0000 0.5000
Hg 0.5000 0.0000 0.8329
Hg 0.0000 0.5000 0.1671
Hg 0.0000 0.5000 0.5000
Hg 0.0000 0.5000 0.8329

No. 3
CsLaI2Br: optimized geometry, GGA-PBE.

Calculated values
Density ... 4.2 g cm⁻³
Formation energy from raw total energies ... -1477.1 meV per atom

Unit cell a=6.3513 b=6.3513 c=5.9080 alpha=90.00 beta=90.00 gamma=90.00
Atoms (fractional coordinates):
Cs 0.5000 0.5000 0.5000
I 0.0000 0.5000 0.0000
I 0.5000 0.0000 0.0000
Br 0.0000 0.0000 0.5000
La 0.0000 0.0000 0.0000

No. 4
Mn2IrRh: optimized geometry, GGA-PBE.

Calculated values
Density ... 12.7 g cm⁻³
Energy relative to the elements ... -0.091 eV/atom

Unit cell a=4.0388 b=2.7049 c=5.0376 alpha=74.42 beta=90.00 gamma=90.00
Atoms (fractional coordinates):
Ir 0.5000 0.7925 0.7900
Mn 0.0000 0.1913 0.9918
Mn 0.5000 0.0613 0.2532
Rh 0.0000 0.4549 0.4650

What is the formula in the third record?
CsLaI2Br

Which formula does entry 3 have?
CsLaI2Br

density of number 1 (Dy2YTh)?
8.4 g cm⁻³